The following is a DFT calculation (PBE-GGA) of a relaxed structure of SrLaAlCu.

Lattice parameters (Å, degrees): 5.379 5.379 5.379 60.00 60.00 60.00
Positions (direct):
La (0.000, 0.000, 0.000)
Cu (0.250, 0.250, 0.250)
Al (0.750, 0.750, 0.750)
Sr (0.500, 0.500, 0.500)

Output
The value obtained for the density of states at the Fermi level is 3.331 states/eV/cell. For the density, the calculation gives 4.78 Mg/m³. As for the formation energy: -0.10 eV per atom. For the total moment, the calculation gives 0.0 μB per formula unit. As for the volume: 110.1 Å³/cell.

---

The following is a DFT calculation (PBE-GGA) of a relaxed structure of LaTa2AlCu.

Lattice parameters (Å, degrees): 4.815 5.491 4.815 90.00 90.00 90.00
Site moments in Bohr magnetons follow the coordinates.
Positions (direct):
Ta (0.000, 0.000, 0.500)  0.28
Cu (0.500, 0.500, 0.500)  0.03
Al (0.000, 0.000, 0.000)  0.01
La (0.000, 0.500, 0.000)  0.08
Ta (0.500, 0.000, 0.000)  0.43

Output
The value obtained for the density of states at the Fermi level is 8.655 states/eV/cell. For the density, the calculation gives 7.71 Mg/m³. As for the formation energy: 1.35 eV per atom. For the total moment, the calculation gives 1.4 μB per formula unit. As for the volume: 127.3 Å³/cell.

---

Which of these has the highest total moment?
LaTa2AlCu